A relaxed LiCrPO2 crystal, computed with GGA+U.

ΔE to the lowest computed polymorph in kJ/mol of atoms: 0.0

CIF file:
```
data_LiCrPO2
_cell_length_a 3.6652
_cell_length_b 3.6652
_cell_length_c 5.2159
_cell_angle_alpha 90.00
_cell_angle_beta 90.00
_cell_angle_gamma 90.00
_symmetry_space_group_name_H-M 'P 4/m m m'
_symmetry_Int_Tables_number 123
_symmetry_space_group_name_Hall '-P 4 2'
loop_
_atom_site_label
_atom_site_type_symbol
_atom_site_fract_x
_atom_site_fract_y
_atom_site_fract_z
Li1 Li 0.0000 0.0000 0.0000
Cr1 Cr 0.5000 0.5000 0.5000
P1 P 0.5000 0.5000 0.0000
O1 O 0.0000 0.5000 0.5000
```